Entry from Alexandria: a relaxed structure of PmY2Pb (GGA-PBE).

Properties
Total moment: 1.0 μB per formula unit
Relative energy among the computed polymorphs: 24.6 meV/atom
Density: 6.800 Mg/m³

a b c (Å): 4.283 12.675 9.536
angles (deg): 90.00 90.00 90.00
Space group Cmcm (No. 63)
Unique sites:
Pm (0.000, 0.056, 0.250) [4 per cell]
Y (0.000, 0.365, 0.050) [8 per cell]
Pb (0.000, 0.244, 0.750) [4 per cell]